{
  "formula": "KMn2Zn",
  "functional": "PBEsol",
  "state": "optimized geometry",
  "space_group": "No. 99",
  "formation_energy_ev_per_atom": 0.5561,
  "density_g_cm3": 5.037,
  "dos_ef_per_ev_fu": 3.22,
  "cell": [[-0.733, -2.850, 0.004], [2.505, -0.646, -1.403], [3.771, -0.961, 7.173]],
  "species": ["Zn", "Mn", "K", "Mn"],
  "frac_coords": [[0.000, 0.000, 0.420], [0.000, 0.000, 0.096], [0.500, 0.500, 0.750], [0.500, 0.500, 0.234]]
}

=====

{
  "formula": "TaCr2Br",
  "functional": "PBEsol",
  "state": "optimized geometry",
  "de_polymorph_ev_per_atom": 0.000,
  "formation_energy_uncorrected_ev_per_atom": 0.4011,
  "space_group": "No. 99",
  "density_g_cm3": 9.729,
  "dos_ef_per_ev_fu": 2.39,
  "cell": [[2.977, 0.000, 0.000], [0.000, 2.977, 0.000], [0.000, 0.000, 7.027]],
  "species": ["Ta", "Cr", "Cr", "Br"],
  "frac_coords": [[0.000, 0.000, 0.472], [0.500, 0.500, 0.229], [0.000, 0.000, 0.058], [0.500, 0.500, 0.740]]
}

=====

{
  "formula": "MnPtAu2",
  "functional": "PBEsol",
  "state": "optimized geometry",
  "space_group": "No. 139",
  "formation_energy_ev_per_atom": -0.0868,
  "density_g_cm3": 17.125,
  "dos_ef_per_ev_fu": 1.29,
  "cell": [[3.910, 0.000, 0.000], [0.000, 3.910, 0.000], [-1.955, -1.955, 4.085]],
  "species": ["Pt", "Au", "Au", "Mn"],
  "frac_coords": [[0.000, 0.000, 0.000], [0.250, 0.750, 0.500], [0.750, 0.250, 0.500], [0.500, 0.500, 0.000]]
}